! Cs2NaSc3F12 PBE relaxed; values from VASP
! Formation energy (no corrections): -3614 meV per atom
! Size of the total moment: 0.3 μB/cell
! DOS at the Fermi energy: 0.00 states/eV/f.u.
! Calculated volume: 18.76 A^3/atom
! Calculated total energy: -6.0849 eV per atom
&SYSTEM
  ibrav = 0, nat = 18, ntyp = 4
/
ATOMIC_SPECIES
Cs 132.91 Cs.upf
Na 22.99 Na.upf
Sc 44.96 Sc.upf
F 19.00 F.upf
ATOMIC_POSITIONS crystal
Cs 0.132 0.132 0.132
Cs 0.868 0.868 0.868
Na 0.500 0.500 0.500
Sc 0.000 0.500 0.500
Sc 0.500 0.000 0.500
Sc 0.500 0.500 0.000
F 0.135 0.589 0.589
F 0.198 0.198 0.576
F 0.198 0.576 0.198
F 0.411 0.411 0.865
F 0.411 0.865 0.411
F 0.424 0.802 0.802
F 0.576 0.198 0.198
F 0.589 0.135 0.589
F 0.589 0.589 0.135
F 0.802 0.424 0.802
F 0.802 0.802 0.424
F 0.865 0.411 0.411
CELL_PARAMETERS angstrom
3.930 2.269 6.312
-3.930 2.269 6.312
0.000 -4.538 6.312

=====

! Cs2NaSeF6 PBE relaxed; values from VASP
! Energy above the most stable polymorph in this dataset: 0 meV/atom
! Formation energy (no corrections): -2210 meV per atom
! Size of the total moment: 2.0 μB/cell
! Calculated volume: 19.84 A^3/atom
! Calculated total energy: -3.9841 eV per atom
&SYSTEM
  ibrav = 0, nat = 20, ntyp = 4
/
ATOMIC_SPECIES
Cs 132.91 Cs.upf
Na 22.99 Na.upf
Se 78.96 Se.upf
F 19.00 F.upf
ATOMIC_POSITIONS crystal
Cs 0.136 0.136 0.136
Cs 0.277 0.277 0.277
Cs 0.723 0.723 0.723
Cs 0.864 0.864 0.864
Na 0.406 0.406 0.406
Na 0.594 0.594 0.594
Se 0.000 0.000 0.000
Se 0.500 0.500 0.500
F 0.151 0.601 0.601
F 0.180 0.180 0.741
F 0.180 0.741 0.180
F 0.259 0.820 0.820
F 0.399 0.399 0.849
F 0.399 0.849 0.399
F 0.601 0.151 0.601
F 0.601 0.601 0.151
F 0.741 0.180 0.180
F 0.820 0.259 0.820
F 0.820 0.820 0.259
F 0.849 0.399 0.399
CELL_PARAMETERS angstrom
3.208 1.852 11.131
-3.208 1.852 11.131
0.000 -3.704 11.131

=====

! Cs2NaSeF6 PBE relaxed; values from VASP
! Energy above the most stable polymorph in this dataset: 27 meV/atom
! Formation energy (no corrections): -2183 meV per atom
! Size of the total moment: 1.0 μB/cell
! DOS at the Fermi energy: 6.23 states/eV/f.u.
! Calculated volume: 18.81 A^3/atom
! Calculated total energy: -3.9569 eV per atom
&SYSTEM
  ibrav = 0, nat = 10, ntyp = 4
/
ATOMIC_SPECIES
Cs 132.91 Cs.upf
Na 22.99 Na.upf
Se 78.96 Se.upf
F 19.00 F.upf
ATOMIC_POSITIONS crystal
Cs 0.250 0.750 0.500
Cs 0.750 0.250 0.500
Na 0.000 0.000 0.000
Se 0.500 0.500 0.000
F 0.255 0.255 0.511
F 0.255 0.745 0.000
F 0.277 0.277 0.000
F 0.723 0.723 0.000
F 0.745 0.255 0.000
F 0.745 0.745 0.489
CELL_PARAMETERS angstrom
-3.267 3.267 4.407
3.267 -3.267 4.407
3.267 3.267 -4.407

=====

! CsNaSiF6 PBE relaxed; values from VASP
! Formation energy (no corrections): -3115 meV per atom
! Size of the total moment: 0.0 μB/cell
! DOS at the Fermi energy: 0.00 states/eV/f.u.
! Calculated volume: 18.63 A^3/atom
! Calculated total energy: -5.2070 eV per atom
&SYSTEM
  ibrav = 0, nat = 9, ntyp = 4
/
ATOMIC_SPECIES
Cs 132.91 Cs.upf
Na 22.99 Na.upf
Si 28.09 Si.upf
F 19.00 F.upf
ATOMIC_POSITIONS crystal
Cs 0.000 0.000 0.000
Na 0.333 0.667 0.500
Si 0.667 0.333 0.500
F 0.422 0.079 0.663
F 0.422 0.343 0.337
F 0.657 0.079 0.337
F 0.657 0.578 0.663
F 0.921 0.343 0.663
F 0.921 0.578 0.337
CELL_PARAMETERS angstrom
5.633 0.000 0.000
-2.816 4.878 0.000
0.000 0.000 6.102

=====

! Cs2NaSmF6 PBE relaxed; values from VASP
! Formation energy (no corrections): -3311 meV per atom
! Size of the total moment: 0.0 μB/cell
! DOS at the Fermi energy: 0.00 states/eV/f.u.
! Calculated volume: 19.98 A^3/atom
! Calculated total energy: -5.2082 eV per atom
&SYSTEM
  ibrav = 0, nat = 10, ntyp = 4
/
ATOMIC_SPECIES
Cs 132.91 Cs.upf
Na 22.99 Na.upf
Sm 150.36 Sm.upf
F 19.00 F.upf
ATOMIC_POSITIONS crystal
Cs 0.250 0.250 0.250
Cs 0.750 0.750 0.750
Na 0.000 0.000 0.000
Sm 0.500 0.500 0.500
F 0.257 0.257 0.743
F 0.257 0.743 0.257
F 0.257 0.743 0.743
F 0.743 0.257 0.257
F 0.743 0.257 0.743
F 0.743 0.743 0.257
CELL_PARAMETERS angstrom
0.000 4.640 4.640
4.640 0.000 4.640
4.640 4.640 0.000

=====

! CsNaSmF5 PBE relaxed; values from VASP
! Formation energy (no corrections): -3416 meV per atom
! Size of the total moment: 0.5 μB/cell
! DOS at the Fermi energy: 0.00 states/eV/f.u.
! Calculated volume: 22.20 A^3/atom
! Calculated total energy: -5.4467 eV per atom
&SYSTEM
  ibrav = 0, nat = 16, ntyp = 4
/
ATOMIC_SPECIES
Cs 132.91 Cs.upf
Na 22.99 Na.upf
Sm 150.36 Sm.upf
F 19.00 F.upf
ATOMIC_POSITIONS crystal
Cs 0.165 0.835 0.750
Cs 0.835 0.165 0.250
Na 0.185 0.815 0.250
Na 0.815 0.185 0.750
Sm 0.500 0.500 0.000
Sm 0.500 0.500 0.500
F 0.149 0.264 0.915
F 0.225 0.601 0.407
F 0.264 0.149 0.415
F 0.399 0.775 0.093
F 0.440 0.560 0.750
F 0.560 0.440 0.250
F 0.601 0.225 0.907
F 0.736 0.851 0.585
F 0.775 0.399 0.593
F 0.851 0.736 0.085
CELL_PARAMETERS angstrom
3.929 -5.557 0.000
3.929 5.557 0.000
-3.144 0.000 8.135

=====

! Cs2NaSn2F7 PBE relaxed; values from VASP
! Formation energy (no corrections): -2455 meV per atom
! Size of the total moment: 0.0 μB/cell
! DOS at the Fermi energy: 0.00 states/eV/f.u.
! Calculated volume: 22.03 A^3/atom
! Calculated total energy: -4.4657 eV per atom
&SYSTEM
  ibrav = 0, nat = 12, ntyp = 4
/
ATOMIC_SPECIES
Cs 132.91 Cs.upf
Na 22.99 Na.upf
Sn 118.71 Sn.upf
F 19.00 F.upf
ATOMIC_POSITIONS crystal
Cs 0.210 0.210 0.385
Cs 0.790 0.790 0.615
Na 0.000 0.000 0.000
Sn 0.407 0.407 0.836
Sn 0.593 0.593 0.164
F 0.056 0.641 0.124
F 0.276 0.276 0.602
F 0.359 0.944 0.876
F 0.500 0.500 0.000
F 0.641 0.056 0.124
F 0.724 0.724 0.398
F 0.944 0.359 0.876
CELL_PARAMETERS angstrom
3.037 -3.288 0.000
3.037 3.288 0.000
-1.913 0.000 13.232

=====

! CsNaSnF6 PBE relaxed; values from VASP
! Energy above the most stable polymorph in this dataset: 5 meV/atom
! Formation energy (no corrections): -2744 meV per atom
! Size of the total moment: 0.0 μB/cell
! DOS at the Fermi energy: 0.00 states/eV/f.u.
! Calculated volume: 21.24 A^3/atom
! Calculated total energy: -4.6777 eV per atom
&SYSTEM
  ibrav = 0, nat = 9, ntyp = 4
/
ATOMIC_SPECIES
Cs 132.91 Cs.upf
Na 22.99 Na.upf
Sn 118.71 Sn.upf
F 19.00 F.upf
ATOMIC_POSITIONS crystal
Cs 0.000 0.000 0.000
Na 0.666 0.334 0.500
Sn 0.333 0.667 0.500
F 0.042 0.402 0.318
F 0.043 0.640 0.683
F 0.360 0.957 0.317
F 0.361 0.403 0.683
F 0.597 0.639 0.317
F 0.598 0.958 0.682
CELL_PARAMETERS angstrom
2.971 -5.154 0.000
2.971 5.154 0.000
-0.008 0.000 6.243

=====

! CsNaSnF6 PBE relaxed; values from VASP
! Energy above the most stable polymorph in this dataset: 0 meV/atom
! Formation energy (no corrections): -2749 meV per atom
! Size of the total moment: 0.7 μB/cell
! DOS at the Fermi energy: 0.00 states/eV/f.u.
! Calculated volume: 18.32 A^3/atom
! Calculated total energy: -4.6826 eV per atom
&SYSTEM
  ibrav = 0, nat = 72, ntyp = 4
/
ATOMIC_SPECIES
Cs 132.91 Cs.upf
Na 22.99 Na.upf
Sn 118.71 Sn.upf
F 19.00 F.upf
ATOMIC_POSITIONS crystal
Cs 0.000 0.073 0.250
Cs 0.000 0.386 0.750
Cs 0.000 0.614 0.250
Cs 0.000 0.927 0.750
Cs 0.500 0.114 0.250
Cs 0.500 0.427 0.750
Cs 0.500 0.573 0.250
Cs 0.500 0.886 0.750
Na 0.247 0.356 0.074
Na 0.247 0.644 0.574
Na 0.253 0.144 0.574
Na 0.253 0.856 0.074
Na 0.747 0.144 0.926
Na 0.747 0.856 0.426
Na 0.753 0.356 0.426
Na 0.753 0.644 0.926
Sn 0.249 0.363 0.424
Sn 0.249 0.637 0.924
Sn 0.251 0.137 0.924
Sn 0.251 0.863 0.424
Sn 0.749 0.137 0.576
Sn 0.749 0.863 0.076
Sn 0.751 0.363 0.076
Sn 0.751 0.637 0.576
F 0.020 0.379 0.458
F 0.020 0.621 0.958
F 0.021 0.153 0.891
F 0.021 0.847 0.391
F 0.207 0.001 0.478
F 0.207 0.999 0.978
F 0.218 0.416 0.261
F 0.218 0.584 0.761
F 0.220 0.221 0.378
F 0.220 0.779 0.878
F 0.224 0.185 0.091
F 0.224 0.815 0.591
F 0.276 0.315 0.591
F 0.276 0.685 0.091
F 0.280 0.279 0.878
F 0.280 0.721 0.378
F 0.282 0.084 0.761
F 0.282 0.916 0.261
F 0.293 0.499 0.978
F 0.293 0.501 0.478
F 0.479 0.347 0.391
F 0.479 0.653 0.891
F 0.480 0.121 0.958
F 0.480 0.879 0.458
F 0.520 0.121 0.542
F 0.520 0.879 0.042
F 0.521 0.347 0.109
F 0.521 0.653 0.609
F 0.707 0.499 0.522
F 0.707 0.501 0.022
F 0.718 0.084 0.739
F 0.718 0.916 0.239
F 0.720 0.279 0.622
F 0.720 0.721 0.122
F 0.724 0.315 0.909
F 0.724 0.685 0.409
F 0.776 0.185 0.409
F 0.776 0.815 0.909
F 0.780 0.221 0.122
F 0.780 0.779 0.622
F 0.782 0.416 0.239
F 0.782 0.584 0.739
F 0.793 0.001 0.022
F 0.793 0.999 0.522
F 0.979 0.153 0.609
F 0.979 0.847 0.109
F 0.980 0.379 0.042
F 0.980 0.621 0.542
CELL_PARAMETERS angstrom
8.518 0.000 0.000
0.000 13.595 0.000
0.000 0.000 11.391

=====

! Cs2NaSrF6 PBE relaxed; values from VASP
! Formation energy (no corrections): -2777 meV per atom
! Size of the total moment: 1.1 μB/cell
! DOS at the Fermi energy: 18.87 states/eV/f.u.
! Calculated volume: 20.96 A^3/atom
! Calculated total energy: -4.3702 eV per atom
&SYSTEM
  ibrav = 0, nat = 10, ntyp = 4
/
ATOMIC_SPECIES
Cs 132.91 Cs.upf
Na 22.99 Na.upf
Sr 87.62 Sr.upf
F 19.00 F.upf
ATOMIC_POSITIONS crystal
Cs 0.250 0.250 0.250
Cs 0.750 0.750 0.750
Na 0.000 0.000 0.000
Sr 0.500 0.500 0.500
F 0.246 0.246 0.754
F 0.246 0.754 0.246
F 0.246 0.754 0.754
F 0.754 0.246 0.246
F 0.754 0.246 0.754
F 0.754 0.754 0.246
CELL_PARAMETERS angstrom
0.000 4.715 4.715
4.715 0.000 4.715
4.715 4.715 0.000

=====

! CsNaTaF6 PBE relaxed; values from VASP
! Formation energy (no corrections): -2990 meV per atom
! Size of the total moment: 2.0 μB/cell
! DOS at the Fermi energy: 0.04 states/eV/f.u.
! Calculated volume: 21.33 A^3/atom
! Calculated total energy: -5.7958 eV per atom
&SYSTEM
  ibrav = 0, nat = 18, ntyp = 4
/
ATOMIC_SPECIES
Cs 132.91 Cs.upf
Na 22.99 Na.upf
Ta 180.95 Ta.upf
F 19.00 F.upf
ATOMIC_POSITIONS crystal
Cs 0.000 0.000 0.000
Cs 0.000 0.000 0.500
Na 0.333 0.667 0.250
Na 0.667 0.333 0.750
Ta 0.333 0.667 0.750
Ta 0.667 0.333 0.250
F 0.041 0.393 0.665
F 0.041 0.647 0.835
F 0.353 0.393 0.835
F 0.353 0.959 0.665
F 0.393 0.041 0.165
F 0.393 0.353 0.335
F 0.607 0.647 0.665
F 0.607 0.959 0.835
F 0.647 0.041 0.335
F 0.647 0.607 0.165
F 0.959 0.353 0.165
F 0.959 0.607 0.335
CELL_PARAMETERS angstrom
6.096 0.000 0.000
-3.048 5.279 0.000
0.000 0.000 11.931

=====

! Cs2NaTbF6 PBE relaxed; values from VASP
! Formation energy (no corrections): -3346 meV per atom
! Size of the total moment: 0.0 μB/cell
! DOS at the Fermi energy: 0.00 states/eV/f.u.
! Calculated volume: 19.49 A^3/atom
! Calculated total energy: -5.2340 eV per atom
&SYSTEM
  ibrav = 0, nat = 10, ntyp = 4
/
ATOMIC_SPECIES
Cs 132.91 Cs.upf
Na 22.99 Na.upf
Tb 158.93 Tb.upf
F 19.00 F.upf
ATOMIC_POSITIONS crystal
Cs 0.250 0.250 0.250
Cs 0.750 0.750 0.750
Na 0.000 0.000 0.000
Tb 0.500 0.500 0.500
F 0.260 0.260 0.740
F 0.260 0.740 0.260
F 0.260 0.740 0.740
F 0.740 0.260 0.260
F 0.740 0.260 0.740
F 0.740 0.740 0.260
CELL_PARAMETERS angstrom
0.000 4.602 4.602
4.602 0.000 4.602
4.602 4.602 0.000

=====

! CsNaTb2F8 PBE relaxed; values from VASP
! Formation energy (no corrections): -3635 meV per atom
! Size of the total moment: 0.0 μB/cell
! DOS at the Fermi energy: 0.00 states/eV/f.u.
! Calculated volume: 16.66 A^3/atom
! Calculated total energy: -5.8349 eV per atom
&SYSTEM
  ibrav = 0, nat = 12, ntyp = 4
/
ATOMIC_SPECIES
Cs 132.91 Cs.upf
Na 22.99 Na.upf
Tb 158.93 Tb.upf
F 19.00 F.upf
ATOMIC_POSITIONS crystal
Cs 0.000 0.000 0.000
Na 0.000 0.000 0.500
Tb 0.470 0.500 0.743
Tb 0.530 0.500 0.257
F 0.253 0.000 0.718
F 0.293 0.500 0.473
F 0.314 0.500 0.990
F 0.361 0.000 0.247
F 0.639 0.000 0.753
F 0.686 0.500 0.010
F 0.707 0.500 0.527
F 0.747 0.000 0.282
CELL_PARAMETERS angstrom
6.625 0.000 0.000
0.000 3.925 0.000
-0.833 0.000 7.689

=====

! Cs3Na2TbF9 PBE relaxed; values from VASP
! Formation energy (no corrections): -2950 meV per atom
! Size of the total moment: 1.3 μB/cell
! DOS at the Fermi energy: 20.91 states/eV/f.u.
! Calculated volume: 19.43 A^3/atom
! Calculated total energy: -4.7279 eV per atom
&SYSTEM
  ibrav = 0, nat = 15, ntyp = 4
/
ATOMIC_SPECIES
Cs 132.91 Cs.upf
Na 22.99 Na.upf
Tb 158.93 Tb.upf
F 19.00 F.upf
ATOMIC_POSITIONS crystal
Cs 0.000 0.000 0.000
Cs 0.333 0.667 0.685
Cs 0.667 0.333 0.315
Na 0.333 0.667 0.182
Na 0.667 0.333 0.818
Tb 0.000 0.000 0.500
F 0.000 0.500 0.000
F 0.160 0.321 0.341
F 0.160 0.840 0.341
F 0.321 0.160 0.659
F 0.500 0.000 0.000
F 0.500 0.500 0.000
F 0.679 0.840 0.341
F 0.840 0.160 0.659
F 0.840 0.679 0.659
CELL_PARAMETERS angstrom
6.454 0.000 0.000
-3.227 5.589 0.000
0.000 0.000 8.082

=====

! CsNaTbF6 PBE relaxed; values from VASP
! Formation energy (no corrections): -2992 meV per atom
! Size of the total moment: 2.0 μB/cell
! DOS at the Fermi energy: 5.81 states/eV/f.u.
! Calculated volume: 20.57 A^3/atom
! Calculated total energy: -4.9955 eV per atom
&SYSTEM
  ibrav = 0, nat = 18, ntyp = 4
/
ATOMIC_SPECIES
Cs 132.91 Cs.upf
Na 22.99 Na.upf
Tb 158.93 Tb.upf
F 19.00 F.upf
ATOMIC_POSITIONS crystal
Cs 0.369 0.119 0.250
Cs 0.631 0.881 0.750
Na 0.000 0.000 0.500
Na 0.000 0.500 0.000
Tb 0.000 0.500 0.500
Tb 0.500 0.500 0.000
F 0.076 0.412 0.242
F 0.076 0.834 0.664
F 0.120 0.870 0.250
F 0.312 0.562 0.750
F 0.330 0.166 0.742
F 0.330 0.588 0.164
F 0.670 0.412 0.836
F 0.670 0.834 0.258
F 0.688 0.438 0.250
F 0.880 0.130 0.750
F 0.924 0.166 0.336
F 0.924 0.588 0.758
CELL_PARAMETERS angstrom
-3.692 4.181 5.997
3.692 -4.181 5.997
3.692 4.181 -5.997

=====

! Cs2NaTcF6 PBE relaxed; values from VASP
! Formation energy (no corrections): -2465 meV per atom
! Size of the total moment: 2.0 μB/cell
! DOS at the Fermi energy: 9.25 states/eV/f.u.
! Calculated volume: 17.84 A^3/atom
! Calculated total energy: -4.9266 eV per atom
&SYSTEM
  ibrav = 0, nat = 10, ntyp = 4
/
ATOMIC_SPECIES
Cs 132.91 Cs.upf
Na 22.99 Na.upf
Tc 98.00 Tc.upf
F 19.00 F.upf
ATOMIC_POSITIONS crystal
Cs 0.250 0.750 0.500
Cs 0.750 0.250 0.500
Na 0.000 0.000 0.000
Tc 0.500 0.500 0.000
F 0.267 0.267 0.000
F 0.270 0.270 0.539
F 0.270 0.730 0.000
F 0.730 0.270 0.000
F 0.730 0.730 0.461
F 0.733 0.733 0.000
CELL_PARAMETERS angstrom
-3.150 3.150 4.494
3.150 -3.150 4.494
3.150 3.150 -4.494

=====

! CsNaTcF6 PBE relaxed; values from VASP
! Formation energy (no corrections): -2546 meV per atom
! Size of the total moment: 6.0 μB/cell
! DOS at the Fermi energy: 0.00 states/eV/f.u.
! Calculated volume: 20.88 A^3/atom
! Calculated total energy: -5.1867 eV per atom
&SYSTEM
  ibrav = 0, nat = 18, ntyp = 4
/
ATOMIC_SPECIES
Cs 132.91 Cs.upf
Na 22.99 Na.upf
Tc 98.00 Tc.upf
F 19.00 F.upf
ATOMIC_POSITIONS crystal
Cs 0.000 0.000 0.000
Cs 0.000 0.000 0.500
Na 0.333 0.667 0.250
Na 0.667 0.333 0.750
Tc 0.333 0.667 0.750
Tc 0.667 0.333 0.250
F 0.048 0.400 0.661
F 0.048 0.649 0.839
F 0.351 0.400 0.839
F 0.351 0.952 0.661
F 0.400 0.048 0.161
F 0.400 0.351 0.339
F 0.600 0.649 0.661
F 0.600 0.952 0.839
F 0.649 0.048 0.339
F 0.649 0.600 0.161
F 0.952 0.351 0.161
F 0.952 0.600 0.339
CELL_PARAMETERS angstrom
5.885 0.000 0.000
-2.943 5.097 0.000
0.000 0.000 12.527